Density functional theory data (PBE) for TbPmPa2As4 after structural relaxation.

a b c (Å): 4.1343 7.1635 7.1610
angles (deg): 70.54 90.00 90.00
With the nearest neighbours (Å) after each atom.
Sites, in units of the cell vectors:
As (0.0000, 0.2413, 0.2558)  3 Pa 2.88-2.91, 1 Tb 2.94, 2 Pm 2.97
As (0.0000, 0.7587, 0.7442)  3 Pa 2.88-2.91, 1 Tb 2.94, 2 Pm 2.97
As (0.5000, 0.2435, 0.7495)  3 Pa 2.88-2.91, 2 Tb 2.94, 1 Pm 2.97
As (0.5000, 0.7565, 0.2505)  3 Pa 2.88-2.91, 2 Tb 2.94, 1 Pm 2.97
Pa (0.5000, 0.0000, 0.5000)  6 As 2.88
Pa (0.0000, 0.0000, 0.0000)  6 As 2.91
Pm (0.5000, 0.5000, 0.0000)  6 As 2.97
Tb (0.0000, 0.5000, 0.5000)  6 As 2.94

Summary:
VASP energy, eV per atom: -7.156
ΔE_f, eV/atom: -1.2850
Total magnetization, μB/f.u.: 0.00
V, Å³ per cell: 200.0
N(E_F), states/eV per cell: 7.894